Here is an optimized crystal structure of BaTaIn2 from Alexandria. Energies are from PBE-GGA.

Cell: 4.4747 4.5507 10.5076 Å, 90.00 90.00 90.00°
With the nearest neighbours (Å) after each atom.
Space group Cmm2 (No. 35)
Symmetry-distinct sites (fractional):
1 Ba 0.0000 0.0000 0.0000 x2  4 Ba 3.19
2 Ta 0.0000 0.5000 0.7277 x2  4 In 3.04-3.07, 4 Ta 3.19
3 In 0.0000 0.0000 0.5316 x2  4 Ta 3.04-3.07, 8 In 3.19-3.38
4 In 0.0000 0.5000 0.2941 x2  8 In 3.19-3.38

Summary:
Its calculated volume is 26.75 Å³/atom. The formation energy comes out at 0.450 eV/atom.


Here is an optimized crystal structure of La2GePbSe from Alexandria. Energies are from PBE-GGA.

Cell: 5.8563 5.8563 5.0559 Å, 90.00 90.00 90.00°
With the nearest neighbours (Å) after each atom.
Space group P4/mmm (No. 123)
Symmetry-distinct sites (fractional):
1 La 0.0000 0.5000 0.0000 x2  2 Ge 2.93
2 Ge 0.0000 0.0000 0.0000 x1  2 Se 2.53
3 Pb 0.5000 0.5000 0.5000 x1  8 La 3.87, 4 Se 4.14
4 Se 0.0000 0.0000 0.5000 x1  2 Ge 2.53

Summary:
Its calculated volume is 34.68 Å³/atom. The value obtained for the energy relative to the elements, uncorrected is -1.5 eV per formula unit.


Here is an optimized crystal structure of Th4Nb from Alexandria. Energies are from PBE-GGA.

Cell: 5.5632 5.5632 5.5632 Å, 90.00 90.00 90.00°
With the nearest neighbours (Å) after each atom.
Space group Pm-3m (No. 221)
Symmetry-distinct sites (fractional):
1 Th 0.0000 0.0000 0.0000 x1  12 Th 3.93
2 Th 0.0000 0.5000 0.5000 x3  2 Nb 2.78
3 Nb 0.5000 0.5000 0.5000 x1  6 Th 2.78

Summary:
Its calculated volume is 34.43 Å³/atom. The formation energy comes out at 0.575 eV/atom.


Which value of calculated volume does entry 1 give?
26.75 Å³/atom